VASP calculation (meta-GGA SCAN) on HfMo2Rh at its PBEsol-relaxed geometry.

```
HfMo2Rh
1.0
4.4706 0.0000 0.0000
2.2353 3.8716 0.0000
2.2353 1.2905 3.6502
Rh Mo Hf
1 2 1
Cartesian
0.0000 0.0000 0.0000
2.2353 1.2905 0.9126
6.7058 3.8716 2.7377
4.4706 2.5811 1.8251
```

Summary:
The crystal system is cubic. As for the space group: No. 225. For the total energy, the calculation gives -41.4387 eV/atom.